(1)
VASP calculation (meta-GGA SCAN) on BaAl2GeSb at its PBEsol-relaxed geometry.

Properties
Crystal system = tetragonal
Fermi-level density of states = 0.6144 states/eV/atom
Space-group type = No. 123
E_form (uncorrected) = 152.5 meV per atom
Total DFT energy (no corrections) = -22.128 eV per atom

Cell and atoms, written as extended XYZ:
```
5
Lattice="4.9307 0.0000 0.0000 0.0000 4.9307 0.0000 0.0000 0.0000 6.1153" Properties=species:S:1:pos:R:3 pbc="T T T"
Ba 0.0000 0.0000 0.0000
Al 0.0000 2.4654 3.0577
Al 2.4654 0.0000 3.0577
Ge 0.0000 0.0000 3.0577
Sb 2.4654 2.4654 0.0000
```

(2)
VASP calculation (meta-GGA SCAN) on Ba2AlTlGe at its PBEsol-relaxed geometry.

Properties
Crystal system = tetragonal
E_form = -21 meV per atom
Fermi-level density of states = 0.7027 states/eV/atom
Space-group type = No. 123
Total DFT energy (no corrections) = -35.680 eV per atom

Cell and atoms, written as extended XYZ:
```
5
Lattice="6.3755 0.0000 0.0000 0.0000 6.3755 0.0000 0.0000 0.0000 4.6821" Properties=species:S:1:pos:R:3 pbc="T T T"
Ba 0.0000 3.1878 0.0000
Ba 3.1878 0.0000 0.0000
Al 0.0000 0.0000 0.0000
Tl 3.1878 3.1878 2.3410
Ge 0.0000 0.0000 2.3410
```

(3)
VASP calculation (meta-GGA SCAN) on Ba2Al2Hg at its PBEsol-relaxed geometry.

Properties
Crystal system = tetragonal
E_form = -53 meV per atom
Fermi-level density of states = 0.7299 states/eV/atom
Space-group type = No. 139
Total DFT energy (no corrections) = -32.607 eV per atom

Cell and atoms, written as extended XYZ:
```
10
Lattice="6.6307 0.0000 0.0000 0.0000 6.6307 0.0000 0.0000 0.0000 7.7018" Properties=species:S:1:pos:R:3 pbc="T T T"
Ba 0.0000 3.3153 1.9254
Ba 0.0000 3.3153 5.7763
Ba 3.3153 0.0000 1.9254
Ba 3.3153 0.0000 5.7763
Al 0.0000 0.0000 1.2276
Al 0.0000 0.0000 6.4742
Al 3.3153 3.3153 2.6233
Al 3.3153 3.3153 5.0785
Hg 0.0000 0.0000 3.8509
Hg 3.3153 3.3153 0.0000
```

(4)
VASP calculation (meta-GGA SCAN) on BaLi2AlHg at its PBEsol-relaxed geometry.

Properties
Crystal system = tetragonal
E_form = 119 meV per atom
Fermi-level density of states = 0.8190 states/eV/atom
Space-group type = No. 123
Total DFT energy (no corrections) = -23.931 eV per atom

Cell and atoms, written as extended XYZ:
```
5
Lattice="5.1105 0.0000 0.0000 0.0000 5.1105 0.0000 0.0000 0.0000 6.2389" Properties=species:S:1:pos:R:3 pbc="T T T"
Ba 0.0000 0.0000 0.0000
Li 0.0000 2.5552 3.1195
Li 2.5552 0.0000 3.1195
Al 2.5552 2.5552 0.0000
Hg 0.0000 0.0000 3.1195
```

(5)
VASP calculation (meta-GGA SCAN) on BaAlHg2S at its PBEsol-relaxed geometry.

Properties
Crystal system = tetragonal
Fermi-level density of states = 0.3763 states/eV/atom
Space-group type = No. 123
E_form (uncorrected) = -86.1 meV per atom
Total DFT energy (no corrections) = -38.738 eV per atom

Cell and atoms, written as extended XYZ:
```
5
Lattice="5.9599 0.0000 0.0000 0.0000 5.9599 0.0000 0.0000 0.0000 4.4942" Properties=species:S:1:pos:R:3 pbc="T T T"
Ba 0.0000 0.0000 0.0000
Al 2.9800 2.9800 0.0000
Hg 0.0000 2.9800 2.2471
Hg 2.9800 0.0000 2.2471
S 2.9800 2.9800 2.2471
```

(6)
VASP calculation (meta-GGA SCAN) on Ba5Ho2ZrAl2O13 at its PBEsol-relaxed geometry.

Properties
Crystal system = hexagonal
Fermi-level density of states = 0.0000 states/eV/atom
Space-group type = No. 194
E_form (uncorrected) = -3424.0 meV per atom
Total DFT energy (no corrections) = -21.813 eV per atom

Cell and atoms, written as extended XYZ:
```
46
Lattice="5.9458 0.0000 0.0000 -2.9729 5.1492 0.0000 0.0000 0.0000 24.9491" Properties=species:S:1:pos:R:3 pbc="T T T"
Ba 0.0000 0.0000 3.4152
Ba 0.0000 0.0000 9.0594
Ba 0.0000 0.0000 15.8897
Ba 0.0000 0.0000 21.5339
Ba 0.0000 3.4328 1.0265
Ba 0.0000 3.4328 11.4480
Ba 0.0000 3.4328 18.7118
Ba 2.9729 1.7164 6.2373
Ba 2.9729 1.7164 13.5011
Ba 2.9729 1.7164 23.9225
Ho 0.0000 3.4328 15.0634
Ho 0.0000 3.4328 22.3602
Ho 2.9729 1.7164 2.5889
Ho 2.9729 1.7164 9.8857
Zr 0.0000 0.0000 0.0000
Zr 0.0000 0.0000 12.4745
Al 0.0000 3.4328 4.5104
Al 0.0000 3.4328 7.9641
Al 2.9729 1.7164 16.9849
Al 2.9729 1.7164 20.4387
O -1.4468 2.5975 3.9415
O -1.4468 2.5975 8.5331
O 0.0000 1.6746 13.7219
O 0.0000 1.6746 23.7017
O -1.5227 4.3119 13.7219
O -1.5227 4.3119 23.7017
O 1.4503 0.8373 1.2473
O 1.4503 0.8373 11.2272
O 0.0000 3.4328 6.2373
O 1.4469 2.5975 3.9415
O 1.4469 2.5975 8.5331
O 0.0000 5.1035 3.9415
O 0.0000 5.1035 8.5331
O 2.9729 0.0457 16.4160
O 2.9729 0.0457 21.0076
O 1.5261 2.5518 16.4160
O 1.5261 2.5518 21.0076
O 2.9729 1.7164 18.7118
O 1.5227 4.3119 13.7219
O 1.5227 4.3119 23.7017
O 4.4956 0.8373 1.2473
O 4.4956 0.8373 11.2272
O 2.9729 3.4746 1.2473
O 2.9729 3.4746 11.2272
O 4.4198 2.5518 16.4160
O 4.4198 2.5518 21.0076
```

(7)
VASP calculation (meta-GGA SCAN) on BaAl3I at its PBEsol-relaxed geometry.

Properties
Crystal system = cubic
Fermi-level density of states = 0.6966 states/eV/atom
Space-group type = No. 221
E_form (uncorrected) = 637.1 meV per atom
Total DFT energy (no corrections) = -19.272 eV per atom

Cell and atoms, written as extended XYZ:
```
5
Lattice="5.6651 0.0000 0.0000 0.0000 5.6651 0.0000 0.0000 0.0000 5.6651" Properties=species:S:1:pos:R:3 pbc="T T T"
Ba 0.0000 0.0000 0.0000
Al 0.0000 2.8325 2.8325
Al 2.8325 0.0000 2.8325
Al 2.8325 2.8325 0.0000
I 2.8325 2.8325 2.8325
```

(8)
VASP calculation (meta-GGA SCAN) on BaAlI3 at its PBEsol-relaxed geometry.

Properties
Crystal system = cubic
Fermi-level density of states = 0.0000 states/eV/atom
Space-group type = No. 221
E_form (uncorrected) = -781.1 meV per atom
Total DFT energy (no corrections) = -32.286 eV per atom

Cell and atoms, written as extended XYZ:
```
5
Lattice="6.5743 0.0000 0.0000 0.0000 6.5743 0.0000 0.0000 0.0000 6.5743" Properties=species:S:1:pos:R:3 pbc="T T T"
Ba 0.0000 0.0000 0.0000
Al 3.2872 3.2872 3.2872
I 0.0000 0.0000 3.2872
I 0.0000 3.2872 0.0000
I 3.2872 0.0000 0.0000
```

(9)
VASP calculation (meta-GGA SCAN) on KBaAl2I at its PBEsol-relaxed geometry.

Properties
Crystal system = tetragonal
Fermi-level density of states = 0.9488 states/eV/atom
Space-group type = No. 123
E_form (uncorrected) = 338.8 meV per atom
Total DFT energy (no corrections) = -19.686 eV per atom

Cell and atoms, written as extended XYZ:
```
5
Lattice="6.2509 0.0000 0.0000 0.0000 6.2509 0.0000 0.0000 0.0000 6.5666" Properties=species:S:1:pos:R:3 pbc="T T T"
K 0.0000 0.0000 0.0000
Ba 3.1254 3.1254 3.2833
Al 0.0000 3.1254 3.2833
Al 3.1254 0.0000 3.2833
I 3.1254 3.1254 0.0000
```

(10)
VASP calculation (meta-GGA SCAN) on Ba2AlSnI at its PBEsol-relaxed geometry.

Properties
Crystal system = tetragonal
Fermi-level density of states = 0.7751 states/eV/atom
Space-group type = No. 123
E_form (uncorrected) = -3.9 meV per atom
Total DFT energy (no corrections) = -31.907 eV per atom

Cell and atoms, written as extended XYZ:
```
5
Lattice="6.3665 0.0000 0.0000 0.0000 6.3665 0.0000 0.0000 0.0000 5.4368" Properties=species:S:1:pos:R:3 pbc="T T T"
Ba 0.0000 3.1832 0.0000
Ba 3.1832 0.0000 0.0000
Al 0.0000 0.0000 0.0000
Sn 3.1832 3.1832 2.7184
I 0.0000 0.0000 2.7184
```